A relaxed Mo9Pt11Rh4 crystal, computed with PBE.

Structure (POSCAR):
```
Mo9Pt11Rh4
1.0
2.7553 0.0000 0.0000
0.0000 11.1517 -5.0325
0.0000 -0.2452 12.2322
Rh Mo Pt
4 9 11
direct
0.5000 0.4137 0.2436
0.5000 0.7564 0.5863
0.5000 0.2436 0.4137
0.5000 0.5863 0.7564
0.5000 0.3993 0.8191
0.5000 0.6007 0.1809
0.5000 0.7972 0.9900
0.5000 0.1809 0.6007
0.5000 0.8191 0.3993
0.5000 0.2028 0.0100
0.5000 0.9900 0.7972
0.5000 0.5000 0.5000
0.5000 0.0100 0.2028
0.0000 0.2059 0.2059
0.0000 0.0000 0.0000
0.0000 0.7941 0.7941
0.0000 0.0235 0.4004
0.0000 0.3822 0.6178
0.0000 0.4004 0.0235
0.0000 0.1927 0.8073
0.0000 0.6178 0.3822
0.0000 0.9765 0.5996
0.0000 0.5996 0.9765
0.0000 0.8073 0.1927
```

SG   Cmmm
Total energy   -198.127 eV for the cell shown
Volume   15.52 Å³ per atom